Here is a relaxed Sm2CdCo crystal from the Alexandria database. Energies are from PBE.

a = 3.5057 Å, b = 3.5057 Å, c = 7.7961 Å
α = 90.00°, β = 90.00°, γ = 90.00°
Last column: nearest neighbours and their distance in Å.
Element x y z (fractional)
Sm1 0.0000 0.0000 0.2131  4 Co 2.98, 1 Sm 3.32, 4 Cd 3.34
Sm2 0.0000 0.0000 0.7869  4 Co 2.98, 1 Sm 3.32, 4 Cd 3.34
Co1 0.5000 0.5000 0.0000  8 Sm 2.98
Cd1 0.5000 0.5000 0.5000  8 Sm 3.34, 4 Cd 3.51

energy relative to the lowest polymorph listed for this composition: 0 meV per atom
crystal system: tetragonal
DFT total energy: -4.5418 eV/atom
ρ: 8.18 Mg/m³